1.
A relaxed ReTc2Te crystal, computed with PBE.

The space group is F-43m (No. 216) and the conventional cell measures 6.3740, 6.3740 and 6.3740 Å, with angles of 90.00, 90.00 and 90.00 degrees. The asymmetric unit holds Re at (0.0000, 0.0000, 0.0000), Tc at (0.0000, 0.0000, 0.5000), Tc at (0.2500, 0.2500, 0.2500) and Te at (0.2500, 0.2500, 0.7500).



2.
A relaxed ReTcTe2 crystal, computed with PBE.

The value obtained for the offset from the most stable computed form is 136.4 kJ/mol of formula units.

The space group is R-3m (No. 166, hexagonal axes) and the conventional cell measures 3.2295, 3.2295 and 24.6476 Å, with angles of 90.00, 90.00 and 120.00 degrees. The asymmetric unit holds Re at (0.0000, 0.0000, 0.0000), Tc at (0.0000, 0.0000, 0.5000) and Te at (0.0000, 0.0000, 0.2495).



3.
A relaxed ReTcTe2 crystal, computed with PBE.

The value obtained for the offset from the most stable computed form is 26.5 kJ/mol of formula units.

The space group is Cm (No. 8) and the conventional cell measures 7.3400, 4.1016 and 6.7706 Å, with angles of 90.00, 110.32 and 90.00 degrees. The asymmetric unit holds Re at (0.0000, 0.0000, 0.0000), Tc at (0.3026, 0.0000, 0.9180), Te at (0.0522, 0.5000, 0.6775) and Te at (0.2511, 0.5000, 0.2434).



VASP energy for every record listed, in sequence, given in eV/atom: -8.52; -6.69; -6.97.